# 1
The following is a DFT calculation (PBE) of crystalline CsTe2HN at its relaxed geometry.

a b c (Å): 7.405 7.405 3.910
angles (deg): 90.00 90.00 90.00
Element x y z (fractional)
Cs 0.000 0.000 0.000
Te 0.000 0.500 0.000
Te 0.500 0.000 0.000
H 0.000 0.000 0.500
N 0.500 0.500 0.500

Calculated values
calculated total energy: -1.997 eV/atom
D(E_F): 5.79 states/eV/f.u.
calculated density: 3122 kg/m3
space group: P4/mmm, No. 123

# 2
The following is a DFT calculation (PBE) of crystalline CoTeOs2 at its relaxed geometry.

a b c (Å): 7.029 7.029 7.029
angles (deg): 135.31 135.31 65.05
Element x y z (fractional)
Co 0.000 0.000 0.000
Co 0.750 0.250 0.500
Te 0.250 0.750 0.500
Te 0.500 0.500 0.000
Os 0.069 0.625 0.944
Os 0.375 0.319 0.444
Os 0.681 0.125 0.056
Os 0.875 0.931 0.556

Calculated values
calculated total energy: -6.991 eV/atom
D(E_F): 5.79 states/eV/f.u.
calculated density: 11125 kg/m3
space group: I-42d, No. 122
uncorrected formation energy: 1.19 eV per atom